Entry from Alexandria via LeMat-Bulk: LaCr2O after structural relaxation (GGA+U).

Lattice parameters (Å, degrees): 6.2104 6.2104 6.2104 60.00 60.00 60.00
Fractional coordinates of all 8 atoms:
La1 0.1250 0.1250 0.1250
La2 0.8750 0.8750 0.8750
Cr1 0.0000 0.5000 0.5000
Cr2 0.5000 0.0000 0.5000
Cr3 0.5000 0.5000 0.0000
Cr4 0.5000 0.5000 0.5000
O1 0.3750 0.3750 0.3750
O2 0.6250 0.6250 0.6250

Output
As for the total energy: -5.928 eV per atom. Its density of states at the Fermi level is 4.40 states/eV per cell.